Here is a relaxed Li2NbP2 crystal from Alexandria. Energies are from GGA-PBE.

## Properties
symmetry: No. 139
size of the total moment: 0.000 μB/atom
formation enthalpy at 0 K: -0.4832 eV per atom
E_tot: -27.1 eV/cell

Cell lengths 3.348, 3.348, 6.639 Å; angles 75.40, 75.40, 90.00 degrees
Fractional coordinates of all 5 atoms:
P 0.396 0.396 0.209
P 0.604 0.604 0.791
Nb 0.000 0.000 0.000
Li 0.750 0.250 0.500
Li 0.250 0.750 0.500